An optimized crystal structure of B7C3, computed with GGA-PBE. Values from VASP.

```
&SYSTEM
  ibrav = 0, nat = 10, ntyp = 2
/
ATOMIC_SPECIES
B 10.81 B.upf
C 12.01 C.upf
ATOMIC_POSITIONS crystal
B 0.3803 0.3803 0.8530
B 0.5475 0.5475 0.7733
B 0.3299 0.3299 0.5686
B 0.1754 0.1754 0.8035
B 0.2765 0.2765 0.0866
B 0.0281 0.0281 0.9582
B 0.6073 0.6073 0.3196
C 0.0260 0.0260 0.2300
C 0.8342 0.8342 0.2128
C 0.7947 0.7947 0.4445
CELL_PARAMETERS angstrom
4.1479 -0.0181 -1.5245
3.2478 2.5801 -1.5245
0.9068 0.3141 6.2846
```

Calculated values
VASP energy (eV/atom): -7.15
Space-group type: Cm
Polymorph energy (0 for the lowest one) (meV/atom): 0
V (Å³/cell): 71.6
Calculated formation energy (eV/atom): 0.292